Entry 1:
Density functional theory data (PBE) for TmGa4Ni6 after structural relaxation.

Summary:
- space-group type = I-42m, No. 121
- volume (Å³/cell) = 165
- DFT formation energy (eV per atom) = -0.2448

Cell lengths 6.1958, 6.1958, 6.1958 Å; angles 121.08, 121.08, 88.13 degrees
Closest atoms and distances in Å follow each position.
Positions (direct):
Tm  0.0000  0.0000  0.0000  8 Ni 3.01-3.05, 8 Ga 3.09-3.24
Ga  0.1054  0.1054  0.5965  4 Ni 2.31-2.49
Ga  0.4911  0.8946  0.0000  4 Ni 2.31-2.49
Ga  0.5089  0.5089  0.4035  4 Ni 2.31-2.49
Ga  0.8946  0.4911  0.0000  4 Ni 2.31-2.49
Ni  0.0000  0.5000  0.5000  4 Ni 2.40
Ni  0.2544  0.5781  0.0000  4 Ga 2.31-2.49, 4 Ni 2.40-2.47
Ni  0.4219  0.4219  0.6763  4 Ga 2.31-2.49, 4 Ni 2.40-2.47
Ni  0.5000  0.0000  0.5000  4 Ni 2.40
Ni  0.5781  0.2544  0.0000  4 Ga 2.31-2.49, 4 Ni 2.40-2.47
Ni  0.7456  0.7456  0.3237  4 Ga 2.31-2.49, 4 Ni 2.40-2.47



Entry 2:
Density functional theory data (PBE) for Tm4Ga12Ni after structural relaxation.

Summary:
- space-group type = Im-3m, No. 229
- volume (Å³/cell) = 309
- DFT formation energy (eV per atom) = -0.5471

Cell lengths 7.3763, 7.3763, 7.3763 Å; angles 109.47, 109.47, 109.47 degrees
Closest atoms and distances in Å follow each position.
Positions (direct):
Tm  0.0000  0.0000  0.5000  12 Ga 3.01-3.03
Tm  0.0000  0.5000  0.0000  12 Ga 3.01-3.03
Tm  0.5000  0.0000  0.0000  12 Ga 3.01-3.03
Tm  0.5000  0.5000  0.5000  12 Ga 3.01-3.03
Ga  0.0000  0.2869  0.2869  1 Ni 2.44
Ga  0.0000  0.7131  0.7131  1 Ni 2.44
Ga  0.2500  0.5000  0.7500  8 Ga 2.80-3.01, 4 Tm 3.01
Ga  0.2500  0.7500  0.5000  8 Ga 2.80-3.01, 4 Tm 3.01
Ga  0.2869  0.0000  0.2869  1 Ni 2.44
Ga  0.2869  0.2869  0.0000  1 Ni 2.44
Ga  0.5000  0.2500  0.7500  8 Ga 2.80-3.01, 4 Tm 3.01
Ga  0.5000  0.7500  0.2500  8 Ga 2.80-3.01, 4 Tm 3.01
Ga  0.7131  0.0000  0.7131  1 Ni 2.44
Ga  0.7131  0.7131  0.0000  1 Ni 2.44
Ga  0.7500  0.2500  0.5000  8 Ga 2.80-3.01, 4 Tm 3.01
Ga  0.7500  0.5000  0.2500  8 Ga 2.80-3.01, 4 Tm 3.01
Ni  0.0000  0.0000  0.0000  6 Ga 2.44